Material: SrCa2TcO6
Method: DFT, GGA-PBE
State: optimized geometry

Output
space group	R3 (146)
energy relative to the elements, uncorrected	-2.32	eV per atom

Lattice parameters (Å, degrees): 5.783 5.783 6.037 61.38 61.38 60.00
Each line ends with the local moment (μB).
Atoms (fractional coordinates):
Tc 0.321 0.321 0.037  0.77
O 0.670 0.143 0.783  0.01
O 0.143 0.404 0.783  0.01
O 0.556 0.222 0.234  0.03
O 0.404 0.670 0.783  0.01
O 0.222 0.988 0.234  0.03
O 0.988 0.556 0.234  0.03
Sr 0.805 0.805 0.585  0.01
Ca 0.024 0.024 0.928  0.00
Ca 0.529 0.529 0.414  0.01

---

Material: Ca2Al2Rh
Method: DFT, GGA-PBE
State: optimized geometry

Output
energy relative to the elements	-0.3397	eV/atom
ΔE to the lowest computed polymorph	0	meV/atom
space group	P4/mbm (127)

Lattice parameters (Å, degrees): 6.709 6.709 4.977 90.00 90.00 90.00
Atoms (fractional coordinates):
Rh 0.500 0.500 0.000
Rh 0.000 0.000 0.000
Al 0.142 0.358 0.000
Al 0.358 0.858 0.000
Al 0.642 0.142 0.000
Al 0.858 0.642 0.000
Ca 0.179 0.679 0.500
Ca 0.821 0.321 0.500
Ca 0.321 0.179 0.500
Ca 0.679 0.821 0.500

---

Material: LiMgSi2I
Method: DFT, GGA-PBE
State: optimized geometry

Output
space group	P4/mmm (123)
energy relative to the elements, uncorrected	0.59	eV per atom

Lattice parameters (Å, degrees): 4.551 5.625 4.551 90.00 90.00 90.00
Atoms (fractional coordinates):
I 0.000 0.500 0.000
Si 0.500 0.000 0.000
Si 0.000 0.000 0.500
Mg 0.500 0.500 0.500
Li 0.000 0.000 0.000

---

Material: ErBe2SiOs
Method: DFT, GGA-PBE
State: optimized geometry

Output
space group	Imm2 (44)
energy relative to the elements, uncorrected	-0.35	eV per atom

Lattice parameters (Å, degrees): 3.794 3.799 5.732 109.35 109.33 90.00
Atoms (fractional coordinates):
Er 0.448 0.448 0.895
Si 0.826 0.826 0.653
Os 0.186 0.686 0.373
Be 0.690 0.190 0.380
Be 0.062 0.062 0.124

---

Material: BaCuPd2Ru
Method: DFT, GGA-PBE
State: optimized geometry

Output
energy relative to the elements	0.4053	eV/atom
space group	P4/mmm (123)

Lattice parameters (Å, degrees): 4.854 4.656 4.854 90.00 90.00 90.00
Each line ends with the local moment (μB).
Atoms (fractional coordinates):
Pd 0.000 0.000 0.500  0.08
Pd 0.500 0.000 0.000  0.03
Ru 0.000 0.500 0.000  1.46
Cu 0.000 0.000 0.000  0.22
Ba 0.500 0.500 0.500  -0.02

---

Material: Ac5TbPm2
Method: DFT, GGA-PBE
State: optimized geometry

Output
energy relative to the elements	0.0386	eV/atom
space group	Pbam (55)

Lattice parameters (Å, degrees): 5.520 7.645 15.313 90.00 90.00 90.00
Atoms (fractional coordinates):
Pm 0.500 0.743 0.624
Pm 0.500 0.757 0.124
Pm 0.500 0.243 0.876
Pm 0.500 0.257 0.376
Ac 0.500 0.240 0.621
Ac 0.000 0.011 0.254
Ac 0.000 0.989 0.746
Ac 0.000 0.000 0.000
Ac 0.000 0.500 0.500
Ac 0.500 0.760 0.379
Ac 0.500 0.260 0.121
Ac 0.500 0.740 0.879
Ac 0.000 0.489 0.754
Ac 0.000 0.511 0.246
Tb 0.000 0.000 0.500
Tb 0.000 0.500 0.000

---

Material: HfFeHgBr2
Method: DFT, GGA-PBE
State: optimized geometry

Output
space group	P4/mmm (123)
energy relative to the elements, uncorrected	1.27	eV per atom

Lattice parameters (Å, degrees): 5.440 5.666 5.440 90.00 90.00 90.00
Each line ends with the local moment (μB).
Atoms (fractional coordinates):
Br 0.000 0.000 0.500  0.02
Br 0.500 0.000 0.000  0.03
Fe 0.500 0.500 0.500  3.42
Hf 0.000 0.500 0.000  -0.84
Hg 0.000 0.000 0.000  -0.04

---

Material: SrTl2Zn
Method: DFT, GGA-PBE
State: optimized geometry

Output
energy relative to the elements	-0.1338	eV/atom
space group	Pm (6)

Lattice parameters (Å, degrees): 4.771 3.941 6.594 73.88 90.00 90.00
Atoms (fractional coordinates):
Sr 0.500 0.715 0.710
Zn 0.000 0.313 0.495
Tl 0.500 0.435 0.249
Tl 0.000 0.037 0.046

---

Material: Ba2NaTlAu
Method: DFT, GGA-PBE
State: optimized geometry

Output
energy relative to the elements	-0.2230	eV/atom
ΔE to the lowest computed polymorph	47	meV/atom
space group	P4/mmm (123)

Lattice parameters (Å, degrees): 6.423 6.423 5.570 90.00 90.00 90.00
Atoms (fractional coordinates):
Au 0.000 0.000 0.000
Tl 0.000 0.000 0.500
Ba 0.500 0.000 0.000
Ba 0.000 0.500 0.000
Na 0.500 0.500 0.500

---

Material: AlCo2Pb
Method: DFT, GGA-PBE
State: optimized geometry

Output
energy relative to the elements	0.3595	eV/atom
ΔE to the lowest computed polymorph	396	meV/atom
space group	R-3m (166)

Lattice parameters (Å, degrees): 8.067 8.067 8.067 21.67 21.67 21.67
Each line ends with the local moment (μB).
Atoms (fractional coordinates):
Co 0.008 0.008 0.008  0.69
Co 0.492 0.492 0.492  0.69
Al 0.750 0.750 0.750  -0.02
Pb 0.250 0.250 0.250  0.00

---

Material: SrP2H2
Method: DFT, GGA-PBE
State: optimized geometry

Output
final energy	-3.761	eV per atom
space group	I4/mmm (139)

Lattice parameters (Å, degrees): 4.257 4.257 5.060 65.12 65.12 90.00
Atoms (fractional coordinates):
P 0.372 0.372 0.255
P 0.628 0.628 0.745
H 0.250 0.750 0.500
H 0.750 0.250 0.500
Sr 0.000 0.000 0.000

---

Material: GdMgTlZn
Method: DFT, GGA-PBE
State: optimized geometry

Output
energy relative to the elements	-0.2741	eV/atom
space group	F-43m (216)

Lattice parameters (Å, degrees): 5.092 5.092 5.092 60.00 60.00 60.00
Each line ends with the local moment (μB).
Atoms (fractional coordinates):
Zn 0.000 0.000 0.000  -0.01
Tl 0.500 0.500 0.500  -0.01
Gd 0.750 0.750 0.750  6.97
Mg 0.250 0.250 0.250  -0.01